--- 1 ---
A plane-wave DFT calculation with PBE was carried out for crystalline Si2PdCl at its relaxed geometry.

Values from the calculation:
Volume, A^3/atom: 24.25

Cell lengths 5.6426, 5.6426, 7.2835 Å; angles 67.21, 67.21, 90.00 degrees
Closest atoms and distances in Å follow each position.
Fractional coordinates of all 8 atoms:
Si1 0.6990 0.1250 0.2500  2 Pd 2.30
Si2 0.0510 0.6250 0.2500  2 Pd 2.30
Si3 0.3750 0.3010 0.7500  2 Pd 2.30
Si4 0.8750 0.9490 0.7500  2 Pd 2.30
Pd1 0.0000 0.0000 0.0000  4 Si 2.30
Pd2 0.7500 0.2500 0.5000  4 Si 2.30
Cl1 0.5000 0.5000 0.0000  4 Si 2.77
Cl2 0.2500 0.7500 0.5000  4 Si 2.77



--- 2 ---
A plane-wave DFT calculation with PBE was carried out for crystalline Si2PdCl at its relaxed geometry.

Values from the calculation:
Volume, A^3/atom: 16.57

Cell lengths 4.5422, 4.5422, 4.5422 Å; angles 60.00, 60.00, 60.00 degrees
Closest atoms and distances in Å follow each position.
Fractional coordinates of all 4 atoms:
Si1 0.2500 0.2500 0.2500  4 Cl 2.78, 4 Pd 2.78
Si2 0.7500 0.7500 0.7500  4 Cl 2.78, 4 Pd 2.78
Pd1 0.5000 0.5000 0.5000  8 Si 2.78
Cl1 0.0000 0.0000 0.0000  8 Si 2.78



Which of them is least stable? Easy: 2.